No. 1
Computed, not measured: SrNbP2 after structural relaxation at the PBE level of DFT.

Cell and atoms, written as CIF:
```
data_SrNbP2
_symmetry_space_group_name_H-M 'I -4 2 d'
_symmetry_Int_Tables_number 122
_symmetry_space_group_name_Hall 'I -4 2bw'
_cell_length_a 6.301
_cell_length_b 6.301
_cell_length_c 11.905
_cell_angle_alpha 90.00
_cell_angle_beta 90.00
_cell_angle_gamma 90.00
loop_
_atom_site_label
_atom_site_type_symbol
_atom_site_fract_x
_atom_site_fract_y
_atom_site_fract_z
Sr1 Sr 0.000 0.000 0.000
Nb1 Nb 0.000 0.000 0.500
P1 P 0.165 0.250 0.625
```

Calculated values
DOS(E_F) in states/eV/f.u.: 4.70
Offset from the most stable computed form in meV/atom: 0
Total magnetization in μB per cell: 0.6
Energy of formation in meV/atom: -504

No. 2
Computed, not measured: SrNb2P after structural relaxation at the PBE level of DFT.

Cell and atoms, written as CIF:
```
data_SrNb2P
_symmetry_space_group_name_H-M 'I 41/a m d'
_symmetry_Int_Tables_number 141
_cell_length_a 4.835
_cell_length_b 4.835
_cell_length_c 18.540
_cell_angle_alpha 90.00
_cell_angle_beta 90.00
_cell_angle_gamma 90.00
loop_
_symmetry_equiv_pos_as_xyz
'x,y,z'
'-x,-y,-z'
'-y+1/4,x+3/4,z+1/4'
'y+1/4,-x+3/4,-z+1/4'
'-x+1/2,-y,z+1/2'
'x+1/2,y,-z+1/2'
'y+1/4,-x+1/4,z+3/4'
'-y+1/4,x+1/4,-z+3/4'
'x,-y,-z'
'-x,y,z'
'-y+1/4,-x+1/4,-z+3/4'
'y+1/4,x+1/4,z+3/4'
'-x+1/2,y,-z+1/2'
'x+1/2,-y,z+1/2'
'y+1/4,x+3/4,-z+1/4'
'-y+1/4,-x+3/4,z+1/4'
'x+1/2,y+1/2,z+1/2'
'-x+1/2,-y+1/2,-z+1/2'
'-y+3/4,x+1/4,z+3/4'
'y+3/4,-x+1/4,-z+3/4'
'-x,-y+1/2,z'
'x,y+1/2,-z'
'y+3/4,-x+3/4,z+1/4'
'-y+3/4,x+3/4,-z+1/4'
'x+1/2,-y+1/2,-z+1/2'
'-x+1/2,y+1/2,z+1/2'
'-y+3/4,-x+3/4,-z+1/4'
'y+3/4,x+3/4,z+1/4'
'-x,y+1/2,-z'
'x,-y+1/2,z'
'y+3/4,x+1/4,-z+3/4'
'-y+3/4,-x+1/4,z+3/4'
loop_
_atom_site_label
_atom_site_type_symbol
_atom_site_fract_x
_atom_site_fract_y
_atom_site_fract_z
Sr1 Sr 0.000 0.250 0.375
Nb1 Nb 0.000 0.000 0.000
P1 P 0.000 0.250 0.875
```

Calculated values
DOS(E_F) in states/eV/f.u.: 4.69
Total magnetization in μB per cell: 0.0
Energy of formation in meV/atom: 313